[1]
Hf2S: relaxed, PBE.

Calculated values
The total energy comes out at -8.840 eV/atom.

abc: 3.3884 10.8207 12.7598
angles: 90.00 90.00 90.00
Sites, in units of the cell vectors:
Hf 0.0000 0.8851 0.3886
Hf 0.0000 0.3851 0.6114
S 0.0000 0.5136 0.0730
Hf 0.0000 0.8470 0.6246
S 0.0000 0.6182 0.6230
Hf 0.0000 0.3989 0.9061
S 0.5000 0.3331 0.7621
Hf 0.5000 0.5968 0.7681
Hf 0.5000 0.1319 0.5227
Hf 0.0000 0.8989 0.0939
Hf 0.5000 0.0968 0.2319
Hf 0.5000 0.3692 0.1475
S 0.5000 0.5019 0.3174
Hf 0.5000 0.6613 0.0050
S 0.5000 0.8331 0.2379
S 0.0000 0.1182 0.3770
Hf 0.5000 0.1613 0.9950
S 0.0000 0.0136 0.9270
Hf 0.0000 0.3470 0.3754
Hf 0.5000 0.6319 0.4773
S 0.5000 0.0019 0.6826
Hf 0.5000 0.8692 0.8525
Hf 0.0000 0.1432 0.7646
Hf 0.0000 0.6432 0.2354


[2]
Ba2CdPd: relaxed, PBE.

Calculated values
For the formation enthalpy at 0 K, the calculation gives -1.7 eV per formula unit.

abc: 4.7787 6.8179 9.5907
angles: 111.00 90.00 90.00
Sites, in units of the cell vectors:
Pd 0.2500 0.3876 0.2190
Ba 0.7500 0.2285 0.4212
Pd 0.7500 0.6124 0.7810
Cd 0.7500 0.6379 0.2818
Ba 0.7500 0.2170 0.9397
Ba 0.2500 0.7830 0.0603
Ba 0.2500 0.7715 0.5788
Cd 0.2500 0.3621 0.7183


[3]
ScTcPb2: relaxed, PBE.

Calculated values
The excess energy over the best structure of this formula in the dataset comes out at 74.9 meV per atom. For the formation enthalpy at 0 K, the calculation gives 0.6 eV per formula unit.

abc: 4.9066 4.9066 4.9066
angles: 60.00 60.00 60.00
Sites, in units of the cell vectors:
Pb 0.7500 0.7500 0.7500
Tc 0.5000 0.5000 0.5000
Pb 0.2500 0.2500 0.2500
Sc 0.0000 0.0000 0.0000


[4]
Li2LaCuF8: relaxed, PBE.

Calculated values
The total energy comes out at -5.077 eV/atom.

abc: 4.0534 4.8640 7.8473
angles: 87.36 89.30 92.40
Sites, in units of the cell vectors:
F 0.8805 0.3049 0.7129
La 0.0000 0.0000 0.5000
Li 0.4733 0.4768 0.2072
Li 0.5267 0.5232 0.7928
Cu 0.0000 0.0000 0.0000
F 0.1195 0.6951 0.2871
F 0.8707 0.1762 0.1825
F 0.5107 0.7532 0.5845
F 0.6613 0.7455 0.0199
F 0.1293 0.8238 0.8175
F 0.4893 0.2468 0.4155
F 0.3387 0.2545 0.9801


[5]
DyLuPuAl: relaxed, PBE.

Calculated values
For the formation enthalpy at 0 K, the calculation gives 0.0 eV per formula unit.

abc: 5.2614 5.2614 5.2614
angles: 60.00 60.00 60.00
Last column: magnetic moment on the atom in μB.
Sites, in units of the cell vectors:
Al 0.7500 0.7500 0.7500  -0.02
Lu 0.2500 0.2500 0.2500  0.32
Pu 0.5000 0.5000 0.5000  5.46
Dy 0.0000 0.0000 0.0000  0.16


[6]
Tl2Cu2Hg: relaxed, PBE.

Calculated values
The excess energy over the best structure of this formula in the dataset comes out at 7.5 meV per atom. For the formation enthalpy at 0 K, the calculation gives 1.0 eV per formula unit.

abc: 7.1911 7.1911 4.1133
angles: 90.00 90.00 90.00
Sites, in units of the cell vectors:
Hg 0.5000 0.5000 0.0000
Cu 0.3760 0.8760 0.0000
Cu 0.8760 0.6240 0.0000
Cu 0.6240 0.1240 0.0000
Tl 0.8295 0.3295 0.5000
Cu 0.1240 0.3760 0.0000
Tl 0.1705 0.6705 0.5000
Hg 0.0000 0.0000 0.0000
Tl 0.3295 0.1705 0.5000
Tl 0.6705 0.8295 0.5000


[7]
HfNi2Sn: relaxed, PBE.

Calculated values
For the formation enthalpy at 0 K, the calculation gives 0.4 eV per formula unit.

abc: 4.1081 4.1081 9.0234
angles: 76.84 76.84 90.00
Sites, in units of the cell vectors:
Sn 0.2500 0.7500 0.5000
Ni 0.3750 0.3805 0.7500
Sn 0.5000 0.5000 0.0000
Ni 0.6195 0.1250 0.2500
Hf 0.7500 0.2500 0.5000
Hf 0.0000 0.0000 0.0000
Ni 0.1305 0.6250 0.2500
Ni 0.8750 0.8695 0.7500


[8]
PbSe2BrCl: relaxed, PBE.

Calculated values
The excess energy over the best structure of this formula in the dataset comes out at 0.0 meV per atom.

abc: 5.1917 5.1917 5.1320
angles: 90.00 90.00 90.00
Last column: magnetic moment on the atom in μB.
Sites, in units of the cell vectors:
Br 0.0000 0.0000 0.5000  -0.01
Pb 0.5000 0.5000 0.5000  -0.01
Se 0.5000 0.0000 0.0000  0.21
Se 0.0000 0.5000 0.0000  0.21
Cl 0.0000 0.0000 0.0000  0.10


[9]
BaAc2AgSe4: relaxed, PBE.

Calculated values
The total energy comes out at -5.007 eV/atom.

abc: 4.4594 7.7740 15.3261
angles: 90.00 90.00 106.67
Sites, in units of the cell vectors:
Se 0.0000 0.0000 0.0000
Se 0.5463 0.0926 0.2500
Ba 0.8782 0.7563 0.2500
Se 0.2724 0.5448 0.1191
Se 0.4537 0.9074 0.7500
Ac 0.6287 0.2574 0.0616
Ag 0.8518 0.7035 0.7500
Se 0.0000 0.0000 0.5000
Ac 0.6287 0.2574 0.4384
Ac 0.3713 0.7426 0.5616
Se 0.2724 0.5448 0.3809
Ag 0.1482 0.2965 0.2500
Ba 0.1218 0.2437 0.7500
Se 0.7276 0.4552 0.6191
Se 0.7276 0.4552 0.8809
Ac 0.3713 0.7426 0.9384


[10]
BaSrCo2: relaxed, PBE.

Calculated values
The excess energy over the best structure of this formula in the dataset comes out at 550.0 meV per atom. For the formation enthalpy at 0 K, the calculation gives 3.4 eV per formula unit.

abc: 6.2051 6.2051 6.2051
angles: 138.55 138.55 60.07
Last column: magnetic moment on the atom in μB.
Sites, in units of the cell vectors:
Sr 0.5000 0.5000 0.0000  -0.10
Co 0.2500 0.7500 0.5000  1.47
Co 0.0000 0.0000 0.0000  1.59
Ba 0.7500 0.2500 0.5000  -0.14


[11]
SrNpBe2O6: relaxed, PBE.

Calculated values
The total energy comes out at -7.884 eV/atom.

abc: 5.8898 6.9318 6.9318
angles: 88.03 74.15 74.15
Last column: magnetic moment on the atom in μB.
Sites, in units of the cell vectors:
Be 0.1600 0.3651 0.2203  0.00
Np 0.7500 0.7001 0.2999  1.20
Sr 0.7500 0.0954 0.9046  0.00
O 0.3355 0.2863 0.3737  -0.03
O 0.1076 0.6109 0.2104  -0.04
O 0.2910 0.2545 0.0006  -0.03
O 0.7910 0.0006 0.2545  -0.03
O 0.8924 0.3891 0.7896  -0.04
O 0.2090 0.9994 0.7455  -0.03
O 0.6645 0.7137 0.6263  -0.03
O 0.1645 0.6263 0.7137  -0.03
Np 0.2500 0.2999 0.7001  1.20
O 0.3924 0.7896 0.3891  -0.04
O 0.7090 0.7455 0.9994  -0.03
O 0.6076 0.2104 0.6109  -0.04
Be 0.6600 0.2203 0.3651  0.00
Be 0.3400 0.7797 0.6349  0.00
O 0.8355 0.3737 0.2863  -0.03
Sr 0.2500 0.9046 0.0954  0.00
Be 0.8400 0.6349 0.7797  0.00


[12]
NdY2Ga6: relaxed, PBE.

Calculated values
The excess energy over the best structure of this formula in the dataset comes out at 172.9 meV per atom. For the formation enthalpy at 0 K, the calculation gives -4.4 eV per formula unit.

abc: 4.3518 7.1255 7.8307
angles: 117.06 106.13 90.00
Sites, in units of the cell vectors:
Ga 0.5000 0.8169 0.0000
Ga 0.3163 0.1225 0.6325
Nd 0.0000 0.5000 0.0000
Y 0.8730 0.8730 0.7460
Ga 0.6837 0.8775 0.3675
Ga 0.6837 0.4900 0.3675
Ga 0.5000 0.1831 0.0000
Ga 0.3163 0.5100 0.6325
Y 0.1270 0.1270 0.2540


[13]
Ac2AgS3: relaxed, PBE.

Calculated values
The total energy comes out at -5.509 eV/atom.

abc: 4.0055 4.7054 8.8463
angles: 105.42 103.09 90.00
Sites, in units of the cell vectors:
Ac 0.3584 0.3584 0.7168
Ac 0.6416 0.6416 0.2832
S 0.1773 0.1773 0.3546
Ag 0.0000 0.0000 0.0000
S 0.8227 0.8227 0.6454
S 0.0000 0.5000 0.0000


[14]
TlSiAu: relaxed, PBE.

Calculated values
The total energy comes out at -2.578 eV/atom.

abc: 4.7759 4.7759 10.5143
angles: 90.00 90.00 120.00
Sites, in units of the cell vectors:
Tl 0.0000 0.0000 0.2500
Au 0.3333 0.6667 0.2500
Au 0.6667 0.3333 0.7500
Si 0.0000 0.0000 0.0000
Tl 0.0000 0.0000 0.7500
Si 0.0000 0.0000 0.5000


[15]
CaBi2TeO: relaxed, PBE.

Calculated values
The total energy comes out at -3.704 eV/atom.

abc: 6.0649 4.1282 6.0649
angles: 90.00 90.00 90.00
Sites, in units of the cell vectors:
Bi 0.5000 0.0000 0.0000
Te 0.5000 0.5000 0.5000
O 0.0000 0.5000 0.0000
Ca 0.0000 0.0000 0.0000
Bi 0.0000 0.0000 0.5000


[16]
Ac2PmPd3: relaxed, PBE.

Calculated values
For the formation enthalpy at 0 K, the calculation gives -4.4 eV per formula unit.

abc: 6.1361 8.6950 7.5058
angles: 106.92 114.13 90.00
Sites, in units of the cell vectors:
Pd 0.1577 0.0791 0.3165
Pm 0.0012 0.2500 0.0000
Ac 0.6670 0.0838 0.3350
Pd 0.8413 0.4209 0.6835
Pm 0.9988 0.7500 0.0000
Ac 0.3320 0.4162 0.6650
Pd 0.4987 0.7500 0.0000
Pd 0.8423 0.9209 0.6835
Pd 0.5013 0.2500 0.0000
Ac 0.3330 0.9162 0.6650
Ac 0.6680 0.5838 0.3350
Pd 0.1587 0.5791 0.3165


[17]
Li2CeErCl8: relaxed, PBE.

Calculated values
The total energy comes out at -4.484 eV/atom.

abc: 6.3614 6.2878 8.1337
angles: 90.00 90.00 93.78
Last column: magnetic moment on the atom in μB.
Sites, in units of the cell vectors:
Cl 0.6788 0.6958 0.5000  -0.01
Li 0.5000 0.5000 0.7595  0.00
Cl 0.8130 0.2047 0.2369  0.00
Cl 0.3090 0.2945 0.0000  0.00
Cl 0.1870 0.7953 0.2369  0.00
Cl 0.1870 0.7953 0.7631  0.00
Er 0.0000 0.0000 0.0000  0.00
Cl 0.6910 0.7055 0.0000  0.00
Ce 0.0000 0.0000 0.5000  0.97
Li 0.5000 0.5000 0.2405  0.00
Cl 0.3212 0.3042 0.5000  -0.01
Cl 0.8130 0.2047 0.7631  0.00


[18]
KCa2Cd: relaxed, PBE.

Calculated values
For the formation enthalpy at 0 K, the calculation gives 0.0 eV per formula unit.

abc: 7.4160 7.4160 6.5361
angles: 64.69 64.69 30.51
Sites, in units of the cell vectors:
Ca 0.4559 0.4559 0.5437
Ca 0.0441 0.0441 0.9563
Cd 0.7500 0.7500 0.7500
K 0.2500 0.2500 0.2500


[19]
Tb6Pm4Er19: relaxed, PBE.

Calculated values
For the formation enthalpy at 0 K, the calculation gives 11.3 eV per formula unit.

abc: 10.7310 10.7314 10.7308
angles: 109.47 109.47 109.47
Sites, in units of the cell vectors:
Pm 0.0000 0.0000 0.6407
Er 0.0000 0.0000 0.0000
Er 0.6753 0.6603 0.4603
Pm 0.3593 0.3593 0.3593
Er 0.3397 0.0150 0.8001
Er 0.2602 0.0000 0.2602
Er 0.9850 0.3247 0.7851
Er 0.2149 0.5397 0.1999
Pm 0.6407 0.0000 0.0000
Er 0.4603 0.6753 0.6602
Er 0.7851 0.9850 0.3247
Tb 0.3737 0.5000 0.8737
Er 0.7398 0.0000 0.7398
Tb 0.6263 0.5000 0.1263
Er 0.7398 0.7398 0.0000
Er 0.1999 0.2149 0.5397
Er 0.6602 0.4603 0.6753
Tb 0.1263 0.6263 0.5000
Er 0.8001 0.3397 0.0150
Er 0.3247 0.7851 0.9850
Er 0.0150 0.8001 0.3398
Er 0.0000 0.2602 0.2602
Pm 0.0000 0.6407 0.0000
Er 0.0000 0.7398 0.7398
Tb 0.8737 0.3737 0.5000
Tb 0.5000 0.8737 0.3737
Tb 0.5000 0.1263 0.6263
Er 0.2602 0.2602 0.0000
Er 0.5397 0.1999 0.2149


[20]
Ac4TlRu: relaxed, PBE.

Calculated values
For the formation enthalpy at 0 K, the calculation gives -1.0 eV per formula unit.

abc: 7.3850 8.2993 9.3880
angles: 110.78 107.18 102.80
Sites, in units of the cell vectors:
Ac 0.7143 0.0496 0.4160
Ac 0.9638 0.1845 0.9145
Ru 0.1702 0.9202 0.8403
Ru 0.8298 0.0798 0.1597
Ac 0.2018 0.3664 0.4160
Ac 0.0362 0.8155 0.0855
Ac 0.7982 0.6336 0.5840
Ac 0.5493 0.2701 0.0855
Tl 0.6334 0.3834 0.7667
Ac 0.4507 0.7299 0.9145
Ac 0.2857 0.9504 0.5840
Tl 0.3666 0.6166 0.2333